Below is a relaxed structure of CuIr3, with properties calculated at the GGA-PBE level.

a b c (Å): 4.413 5.456 4.671
angles (deg): 90.00 90.00 90.00
Element x y z (fractional)
Cu1 0.250 0.250 0.166
Cu2 0.750 0.750 0.834
Ir1 0.250 0.506 0.662
Ir2 0.250 0.750 0.157
Ir3 0.250 0.994 0.662
Ir4 0.750 0.006 0.338
Ir5 0.750 0.250 0.843
Ir6 0.750 0.494 0.338

Total energy (eV/atom): -7.519
Symmetry: Pmmn, No. 59